#a
The following is a DFT calculation (PBE-GGA) of an optimized crystal structure of InHgP2. Values from VASP.

Geometry as Quantum ESPRESSO input:
```
&SYSTEM
  ibrav = 0, nat = 4, ntyp = 3
/
ATOMIC_SPECIES
Hg 200.59 Hg.upf
In 114.82 In.upf
P 30.97 P.upf
CELL_PARAMETERS angstrom
-2.378 2.574 -0.026
0.408 -1.458 -3.161
-5.428 -5.000 1.606
ATOMIC_POSITIONS crystal
Hg 0.500 0.500 0.250
In 0.500 0.500 0.750
P 0.000 0.000 0.997
P 0.000 0.000 0.503
```

DOS(E_F)	0.54	states/eV/atom

#b
The following is a DFT calculation (PBE-GGA) of an optimized crystal structure of InHgP2. Values from VASP.

Geometry as Quantum ESPRESSO input:
```
&SYSTEM
  ibrav = 0, nat = 4, ntyp = 3
/
ATOMIC_SPECIES
In 114.82 In.upf
Hg 200.59 Hg.upf
P 30.97 P.upf
CELL_PARAMETERS angstrom
3.681 0.000 0.000
0.000 3.681 0.000
0.000 0.000 8.117
ATOMIC_POSITIONS crystal
In 0.500 0.500 0.500
Hg 0.500 0.500 0.000
P 0.000 0.000 0.636
P 0.000 0.000 0.364
```

DOS(E_F)	0.71	states/eV/atom

#c
The following is a DFT calculation (PBE-GGA) of an optimized crystal structure of InHgP2. Values from VASP.

Geometry as Quantum ESPRESSO input:
```
&SYSTEM
  ibrav = 0, nat = 8, ntyp = 3
/
ATOMIC_SPECIES
P 30.97 P.upf
Hg 200.59 Hg.upf
In 114.82 In.upf
CELL_PARAMETERS angstrom
-5.771 1.406 -0.421
-0.426 0.030 5.940
-1.712 6.428 2.830
ATOMIC_POSITIONS crystal
P 0.627 0.125 0.250
P 0.123 0.625 0.250
P 0.375 0.373 0.750
P 0.875 0.877 0.750
Hg 0.000 0.000 0.000
Hg 0.750 0.250 0.500
In 0.500 0.500 0.000
In 0.250 0.750 0.500
```

DOS(E_F)	0.73	states/eV/atom

Last place for stability: #a